No. 1
Density functional theory data (PBE) for AgOsNF2 after structural relaxation.

Results
Formation energy without anion corrections = 1247 meV per atom
Fermi-level density of states = 4.909 states/eV/f.u.
Polymorph energy (0 for the lowest one) = 1471 meV per atom

abc: 4.192 4.192 4.202
angles: 90.00 90.00 90.00
Last column: magnetic moment on the atom in μB.
Positions (direct):
1 Os 0.500 0.500 0.500  3.40
2 N 0.000 0.000 0.500  -0.06
3 Ag 0.000 0.000 0.000  -0.06
4 F 0.500 0.000 0.000  0.06
5 F 0.000 0.500 0.000  0.06

No. 2
Density functional theory data (PBE) for Rb3SrAg2F9 after structural relaxation.

Results
Formation energy without anion corrections = -2349 meV per atom
Fermi-level density of states = 5.492 states/eV/f.u.

abc: 6.409 6.409 7.966
angles: 90.00 90.00 120.00
Last column: magnetic moment on the atom in μB.
Positions (direct):
1 F 0.170 0.830 0.319  0.02
2 F 0.500 0.500 0.000  0.05
3 F 0.500 0.000 0.000  0.05
4 F 0.339 0.170 0.681  0.02
5 Rb 0.667 0.333 0.313  0.00
6 F 0.661 0.830 0.319  0.02
7 F 0.000 0.500 0.000  0.05
8 Ag 0.333 0.667 0.157  0.16
9 Rb 0.333 0.667 0.687  0.00
10 F 0.170 0.339 0.319  0.02
11 F 0.830 0.170 0.681  0.02
12 Sr 0.000 0.000 0.500  0.00
13 F 0.830 0.661 0.681  0.02
14 Ag 0.667 0.333 0.843  0.16
15 Rb 0.000 0.000 0.000  0.00